Below is a relaxed NaGaSb2 crystal, with properties calculated at the PBE level.

a = 4.5491 Å, b = 4.5491 Å, c = 4.9334 Å
α = 90.00°, β = 90.00°, γ = 90.00°
Space group P4/mmm (No. 123)
Asymmetric unit:
Na: 0.0000 0.0000 0.0000 x1
Ga: 0.5000 0.5000 0.0000 x1
Sb: 0.0000 0.5000 0.5000 x2

Summary:
- Raw total energy: -13.0 eV per formula unit



Below is a relaxed Er2Mg3Cd4 crystal, with properties calculated at the PBE level.

a = 8.7354 Å, b = 5.0596 Å, c = 9.5076 Å
α = 90.00°, β = 90.42°, γ = 90.00°
Space group C2/m (No. 12)
Asymmetric unit:
Er: 0.1662 0.0000 0.2861 x4
Mg: 0.0000 0.5000 0.5000 x2
Mg: 0.1675 0.0000 0.9311 x4
Cd: 0.0014 0.5000 0.8423 x4
Cd: 0.1667 0.0000 0.6074 x4

Summary:
- Formation enthalpy at 0 K: -216 meV/atom



Below is a relaxed BaLiCd2Ag4 crystal, with properties calculated at the PBE level.

a = 4.8165 Å, b = 4.8165 Å, c = 27.8971 Å
α = 90.00°, β = 90.00°, γ = 120.00°
Space group R-3m (No. 166, hexagonal axes)
Asymmetric unit:
Ba: 0.0000 0.0000 0.0000 x3
Li: 0.0000 0.0000 0.5000 x3
Cd: 0.0000 0.0000 0.2364 x6
Ag: 0.0000 0.0000 0.1313 x6
Ag: 0.0000 0.0000 0.4084 x6

Summary:
- Formation enthalpy at 0 K: -177 meV/atom



Below is a relaxed GdGaRh4 crystal, with properties calculated at the PBE level.

a = 7.4187 Å, b = 7.4187 Å, c = 7.4187 Å
α = 90.00°, β = 90.00°, γ = 90.00°
Space group F-43m (No. 216)
Asymmetric unit:
Gd: 0.0000 0.0000 0.0000 x4
Ga: 0.2500 0.2500 0.7500 x4
Rh: 0.1242 0.1242 0.3758 x16

Summary:
- Formation enthalpy at 0 K: -426 meV/atom



Below is a relaxed AcCdIr crystal, with properties calculated at the PBE level.

a = 4.2872 Å, b = 4.2860 Å, c = 8.1236 Å
α = 90.00°, β = 90.08°, γ = 90.00°
Space group P2_1/m (No. 11)
Asymmetric unit:
Ac: 0.2501 0.2500 0.1582 x2
Cd: 0.2500 0.7500 0.5001 x2
Ir: 0.2499 0.2500 0.7525 x2

Summary:
- Formation enthalpy at 0 K: -448 meV/atom



Below is a relaxed Na2Li2CeS4 crystal, with properties calculated at the PBE level.

a = 14.7608 Å, b = 4.0400 Å, c = 7.3753 Å
α = 90.00°, β = 117.56°, γ = 90.00°
Space group C2/m (No. 12)
Asymmetric unit:
Na: 0.1530 0.0000 0.0445 x4
Li: 0.1795 0.5000 0.4780 x4
Ce: 0.0000 0.0000 0.5000 x2
S: 0.0027 0.5000 0.7520 x4
S: 0.2099 0.0000 0.6876 x4

Summary:
- Raw total energy: -41.7 eV per formula unit



Below is a relaxed CrFe2Pb crystal, with properties calculated at the PBE level.

a = 3.0222 Å, b = 3.0222 Å, c = 24.2273 Å
α = 90.00°, β = 90.00°, γ = 120.00°
Space group R-3m (No. 166, hexagonal axes)
Asymmetric unit:
Cr: 0.0000 0.0000 0.0000 x3
Fe: 0.0000 0.0000 0.2660 x6
Pb: 0.0000 0.0000 0.5000 x3

Summary:
- Formation enthalpy at 0 K: 710 meV/atom



Below is a relaxed LaCu2Rh2 crystal, with properties calculated at the PBE level.

a = 7.2270 Å, b = 7.2270 Å, c = 3.1965 Å
α = 90.00°, β = 90.00°, γ = 90.00°
Space group P4/mbm (No. 127)
Asymmetric unit:
La: 0.0000 0.0000 0.0000 x2
Cu: 0.1524 0.3476 0.5000 x4
Rh: 0.1397 0.6397 0.0000 x4

Summary:
- Formation enthalpy at 0 K: -171 meV/atom



| no. | M_tot (μB per formula unit) |
| --- | --- |
| 1 | 0.0 |
| 2 | 0.0 |
| 3 | 0.0 |
| 4 | 6.9 |
| 5 | 0.0 |
| 6 | 0.0 |
| 7 | 2.5 |
| 8 | 0.0 |